# 1
Computed, not measured: crystalline NdTlGeS4 at its relaxed geometry at the PBE level of DFT.

The structure in CIF format:
```
data_NdTlGeS4
_symmetry_space_group_name_H-M 'P 1'
_symmetry_Int_Tables_number 1
_cell_length_a 6.666
_cell_length_b 6.677
_cell_length_c 8.817
_cell_angle_alpha 90.00
_cell_angle_beta 106.74
_cell_angle_gamma 90.00
loop_
_symmetry_equiv_pos_as_xyz
'x,y,z'
loop_
_atom_site_label
_atom_site_type_symbol
_atom_site_fract_x
_atom_site_fract_y
_atom_site_fract_z
Nd1 Nd 0.769 0.750 0.445
Nd2 Nd 0.231 0.250 0.555
Tl1 Tl 0.735 0.750 0.930
Tl2 Tl 0.265 0.250 0.070
Ge1 Ge 0.224 0.750 0.320
Ge2 Ge 0.776 0.250 0.680
S1 S 0.999 0.508 0.715
S2 S 0.001 0.008 0.285
S3 S 0.001 0.492 0.285
S4 S 0.999 0.992 0.715
S5 S 0.424 0.750 0.161
S6 S 0.576 0.250 0.839
S7 S 0.417 0.750 0.574
S8 S 0.583 0.250 0.426
```

=====

# 2
Computed, not measured: crystalline NdYGeS at its relaxed geometry at the PBE level of DFT.

The structure in CIF format:
```
data_NdYGeS
_symmetry_space_group_name_H-M 'P 1'
_symmetry_Int_Tables_number 1
_cell_length_a 4.123
_cell_length_b 4.123
_cell_length_c 7.177
_cell_angle_alpha 73.31
_cell_angle_beta 73.31
_cell_angle_gamma 60.00
loop_
_symmetry_equiv_pos_as_xyz
'x,y,z'
loop_
_atom_site_label
_atom_site_type_symbol
_atom_site_fract_x
_atom_site_fract_y
_atom_site_fract_z
Nd1 Nd 0.694 0.694 0.918
Y1 Y 0.194 0.194 0.419
Ge1 Ge 0.941 0.941 0.176
S1 S 0.447 0.447 0.658
```

=====

# 3
Computed, not measured: crystalline Nd6GeSb2 at its relaxed geometry at the PBE level of DFT.

The structure in CIF format:
```
data_Nd6GeSb2
_symmetry_space_group_name_H-M 'P 1'
_symmetry_Int_Tables_number 1
_cell_length_a 6.419
_cell_length_b 8.490
_cell_length_c 10.441
_cell_angle_alpha 90.00
_cell_angle_beta 90.53
_cell_angle_gamma 90.00
loop_
_symmetry_equiv_pos_as_xyz
'x,y,z'
loop_
_atom_site_label
_atom_site_type_symbol
_atom_site_fract_x
_atom_site_fract_y
_atom_site_fract_z
Nd1 Nd 0.877 0.967 0.234
Nd2 Nd 0.868 0.674 0.546
Nd3 Nd 0.875 0.684 0.952
Nd4 Nd 0.625 0.184 0.548
Nd5 Nd 0.632 0.174 0.954
Nd6 Nd 0.623 0.467 0.266
Nd7 Nd 0.123 0.033 0.766
Nd8 Nd 0.132 0.326 0.454
Nd9 Nd 0.125 0.316 0.048
Nd10 Nd 0.375 0.816 0.452
Nd11 Nd 0.368 0.826 0.046
Nd12 Nd 0.377 0.533 0.734
Ge1 Ge 0.500 0.500 0.000
Ge2 Ge 0.000 0.000 0.500
Sb1 Sb 0.910 0.387 0.751
Sb2 Sb 0.590 0.887 0.749
Sb3 Sb 0.410 0.113 0.251
Sb4 Sb 0.090 0.613 0.249
```

=====

# 4
Computed, not measured: crystalline Nd2GeSb4 at its relaxed geometry at the PBE level of DFT.

The structure in CIF format:
```
data_Nd2GeSb4
_symmetry_space_group_name_H-M 'P 1'
_symmetry_Int_Tables_number 1
_cell_length_a 4.347
_cell_length_b 4.347
_cell_length_c 11.036
_cell_angle_alpha 90.00
_cell_angle_beta 90.00
_cell_angle_gamma 90.00
loop_
_symmetry_equiv_pos_as_xyz
'x,y,z'
loop_
_atom_site_label
_atom_site_type_symbol
_atom_site_fract_x
_atom_site_fract_y
_atom_site_fract_z
Nd1 Nd 0.500 0.000 0.726
Nd2 Nd 0.000 0.500 0.274
Ge1 Ge 0.500 0.500 0.000
Sb1 Sb 0.500 0.000 0.172
Sb2 Sb 0.000 0.500 0.828
Sb3 Sb 0.500 0.500 0.500
Sb4 Sb 0.000 0.000 0.500
```

=====

# 5
Computed, not measured: crystalline Nd4GeSb2 at its relaxed geometry at the PBE level of DFT.

The structure in CIF format:
```
data_Nd4GeSb2
_symmetry_space_group_name_H-M 'P 1'
_symmetry_Int_Tables_number 1
_cell_length_a 8.451
_cell_length_b 8.451
_cell_length_c 8.449
_cell_angle_alpha 109.51
_cell_angle_beta 109.36
_cell_angle_gamma 109.55
loop_
_symmetry_equiv_pos_as_xyz
'x,y,z'
loop_
_atom_site_label
_atom_site_type_symbol
_atom_site_fract_x
_atom_site_fract_y
_atom_site_fract_z
Nd1 Nd 0.937 0.239 0.302
Nd2 Nd 0.313 0.511 0.198
Nd3 Nd 0.937 0.634 0.698
Nd4 Nd 0.761 0.063 0.698
Nd5 Nd 0.366 0.063 0.302
Nd6 Nd 0.313 0.116 0.802
Nd7 Nd 0.489 0.687 0.802
Nd8 Nd 0.884 0.687 0.198
Ge1 Ge 0.249 0.749 0.500
Ge2 Ge 0.001 0.001 0.000
Sb1 Sb 0.625 0.375 0.750
Sb2 Sb 0.625 0.875 0.250
Sb3 Sb 0.625 0.375 0.250
Sb4 Sb 0.125 0.375 0.750
```

=====

# 6
Computed, not measured: crystalline NdGe2Sb at its relaxed geometry at the PBE level of DFT.

The structure in CIF format:
```
data_NdGe2Sb
_symmetry_space_group_name_H-M 'P 1'
_symmetry_Int_Tables_number 1
_cell_length_a 4.347
_cell_length_b 4.663
_cell_length_c 4.663
_cell_angle_alpha 90.00
_cell_angle_beta 90.00
_cell_angle_gamma 90.00
loop_
_symmetry_equiv_pos_as_xyz
'x,y,z'
loop_
_atom_site_label
_atom_site_type_symbol
_atom_site_fract_x
_atom_site_fract_y
_atom_site_fract_z
Sb1 Sb 0.500 0.500 0.500
Ge1 Ge 0.000 0.000 0.500
Ge2 Ge 0.000 0.500 0.000
Nd1 Nd 0.500 0.000 0.000
```

=====

# 7
Computed, not measured: crystalline Nd10Ge3Sb3 at its relaxed geometry at the PBE level of DFT.

The structure in CIF format:
```
data_Nd10Ge3Sb3
_symmetry_space_group_name_H-M 'P 1'
_symmetry_Int_Tables_number 1
_cell_length_a 6.581
_cell_length_b 9.131
_cell_length_c 9.131
_cell_angle_alpha 120.00
_cell_angle_beta 90.00
_cell_angle_gamma 90.00
loop_
_symmetry_equiv_pos_as_xyz
'x,y,z'
loop_
_atom_site_label
_atom_site_type_symbol
_atom_site_fract_x
_atom_site_fract_y
_atom_site_fract_z
Nd1 Nd 0.257 0.667 0.333
Nd2 Nd 0.257 0.333 0.667
Nd3 Nd 0.743 0.333 0.667
Nd4 Nd 0.743 0.667 0.333
Nd5 Nd 0.500 0.000 0.753
Nd6 Nd 0.500 0.753 0.000
Nd7 Nd 0.500 0.247 0.247
Nd8 Nd 0.000 0.000 0.246
Nd9 Nd 0.000 0.246 0.000
Nd10 Nd 0.000 0.754 0.754
Ge1 Ge 0.500 0.000 0.386
Ge2 Ge 0.500 0.386 0.000
Ge3 Ge 0.500 0.614 0.614
Sb1 Sb 0.000 0.000 0.609
Sb2 Sb 0.000 0.609 0.000
Sb3 Sb 0.000 0.391 0.391
```

=====

# 8
# Nd2GeSb | the Alexandria database | PBE | relaxed
data_Nd2GeSb
_symmetry_space_group_name_H-M 'P 1'
_symmetry_Int_Tables_number 1
_cell_length_a 4.361
_cell_length_b 4.361
_cell_length_c 7.769
_cell_angle_alpha 73.70
_cell_angle_beta 73.70
_cell_angle_gamma 60.00
loop_
_symmetry_equiv_pos_as_xyz
'x,y,z'
loop_
_atom_site_label
_atom_site_type_symbol
_atom_site_fract_x
_atom_site_fract_y
_atom_site_fract_z
Sb1 Sb 0.500 0.500 0.500
Ge1 Ge 0.000 0.000 0.000
Nd1 Nd 0.746 0.746 0.763
Nd2 Nd 0.254 0.254 0.237
# energy relative to the lowest polymorph listed for this composition = 20.6 kJ/mol of formula units

=====

ΔE_f (raw) / eV per formula unit: -7.05 -5.81 -6.22 -4.27 -5.56 -1.66 -13.21 -3.64